[1]
Below is TaMnAs2 after structural relaxation, with properties calculated at the PBEsol level.

## Properties
excess energy over the best structure of this formula in the dataset = 0.0 meV/atom
crystal system = orthorhombic
energy relative to the elements = -0.052 eV per atom

abc: 2.7964 2.7964 9.0449
angles: 90.00 90.00 103.11
Last column: nearest neighbours and their distance in Å.
Atoms (fractional coordinates):
Ta: 0.0000 0.0000 0.0000  4 Mn 2.64-2.96, 2 As 2.68, 4 Ta 2.80
Mn: 0.5000 0.5000 0.2202  2 As 2.42, 2 Ta 2.64
As: 0.0000 0.0000 0.4071  2 Mn 2.42
As: 0.5000 0.5000 0.7750  4 Ta 2.68-2.99, 4 As 2.80

***

[2]
Below is TaMnAs2 after structural relaxation, with properties calculated at the PBEsol level.

## Properties
excess energy over the best structure of this formula in the dataset = 298.2 meV/atom
crystal system = cubic
energy relative to the elements = 0.246 eV per atom

abc: 4.4328 4.4328 4.4328
angles: 60.00 60.00 60.00
Last column: nearest neighbours and their distance in Å.
Atoms (fractional coordinates):
Ta: 0.0000 0.0000 0.0000  4 Mn 2.71, 4 As 2.71
Mn: 0.7500 0.7500 0.7500  4 Ta 2.71, 4 As 2.71
As: 0.2500 0.2500 0.2500  4 Ta 2.71, 4 As 2.71
As: 0.5000 0.5000 0.5000  4 As 2.71, 4 Mn 2.71

***

[3]
Below is Ta3MnAs after structural relaxation, with properties calculated at the PBEsol level.

## Properties
excess energy over the best structure of this formula in the dataset = 0.0 meV/atom
crystal system = cubic
energy relative to the elements = 0.791 eV per atom

abc: 4.5428 4.5428 4.5428
angles: 90.00 90.00 90.00
Last column: nearest neighbours and their distance in Å.
Atoms (fractional coordinates):
Ta: 0.0000 0.0000 0.5000  2 Mn 2.27
Ta: 0.0000 0.5000 0.0000  2 Mn 2.27
Ta: 0.5000 0.0000 0.0000  2 Mn 2.27
Mn: 0.0000 0.0000 0.0000  6 Ta 2.27
As: 0.5000 0.5000 0.5000  12 Ta 3.21

***

[4]
Below is Ta3MnAs after structural relaxation, with properties calculated at the PBEsol level.

## Properties
excess energy over the best structure of this formula in the dataset = 333.9 meV/atom
crystal system = cubic
energy relative to the elements = 1.125 eV per atom

abc: 4.6691 4.6691 4.6691
angles: 90.00 90.00 90.00
Last column: nearest neighbours and their distance in Å.
Atoms (fractional coordinates):
Ta: 0.0000 0.0000 0.5000  2 As 2.33
Ta: 0.0000 0.5000 0.0000  2 As 2.33
Ta: 0.5000 0.0000 0.0000  2 As 2.33
Mn: 0.5000 0.5000 0.5000  12 Ta 3.30
As: 0.0000 0.0000 0.0000  6 Ta 2.33

***

[5]
Below is MnTc2As after structural relaxation, with properties calculated at the PBEsol level.

## Properties
crystal system = tetragonal
energy relative to the elements = -0.007 eV per atom

abc: 2.8761 2.8761 6.2892
angles: 90.00 90.00 90.00
Last column: nearest neighbours and their distance in Å.
Atoms (fractional coordinates):
Mn: 0.0000 0.0000 0.0000  4 As 2.41, 4 Tc 2.62
Tc: 0.0000 0.0000 0.5298  4 As 2.62, 8 Tc 2.64-2.88
Tc: 0.5000 0.5000 0.2619  4 Mn 2.62, 8 Tc 2.64-2.88
As: 0.5000 0.5000 0.7936  4 Mn 2.41, 4 Tc 2.62

***

[6]
Below is MnTc2As after structural relaxation, with properties calculated at the PBEsol level.

## Properties
crystal system = monoclinic
energy relative to the elements = 0.130 eV per atom

abc: 4.3733 2.8351 4.7313
angles: 90.00 111.29 90.00
Last column: nearest neighbours and their distance in Å.
Atoms (fractional coordinates):
Mn: 0.0000 0.0000 0.0000  6 Tc 2.57-2.61, 4 As 2.76, 2 Mn 2.84
Tc: 0.5000 0.0000 0.5000  2 Mn 2.57, 4 As 2.61, 6 Tc 2.76-2.84
Tc: 0.5000 0.5000 0.0000  2 As 2.57, 4 Mn 2.61, 6 Tc 2.76-2.84
As: 0.0000 0.5000 0.5000  6 Tc 2.57-2.61, 4 Mn 2.76, 2 As 2.84

***

[7]
Below is Mn2TcAs after structural relaxation, with properties calculated at the PBEsol level.

## Properties
crystal system = tetragonal
energy relative to the elements = 0.073 eV per atom

abc: 4.5592 4.5592 4.5592
angles: 132.94 132.94 68.75
Last column: nearest neighbours and their distance in Å.
Atoms (fractional coordinates):
Mn: 0.2500 0.7500 0.5000  4 Mn 2.57, 4 Tc 2.62, 4 As 2.62
Mn: 0.7500 0.2500 0.5000  4 Mn 2.57, 4 Tc 2.62, 4 As 2.62
Tc: 0.0000 0.0000 0.0000  4 As 2.57, 8 Mn 2.62
As: 0.5000 0.5000 0.0000  4 Tc 2.57, 8 Mn 2.62

***

[8]
Below is Mn2TcAs after structural relaxation, with properties calculated at the PBEsol level.

## Properties
crystal system = orthorhombic
energy relative to the elements = 0.077 eV per atom

abc: 2.7618 3.6674 4.9839
angles: 90.00 90.00 90.00
Last column: nearest neighbours and their distance in Å.
Atoms (fractional coordinates):
Mn: 0.0000 0.0000 0.2493  4 Mn 2.49-2.76, 4 Tc 2.61, 4 As 2.61
Mn: 0.0000 0.0000 0.7507  4 Mn 2.49-2.76, 4 Tc 2.61, 4 As 2.61
Tc: 0.5000 0.5000 0.0000  2 As 2.49, 8 Mn 2.61, 2 Tc 2.76
As: 0.5000 0.5000 0.5000  2 Tc 2.49, 8 Mn 2.61, 2 As 2.76